# 1
# ZnRe2Tc (PBE, optimized geometry)
data_ZnRe2Tc
_chemical_formula_sum 'Zn2 Re4 Tc2'
_cell_length_a 9.2692
_cell_length_b 2.7899
_cell_length_c 4.6756
_cell_angle_alpha 90.00
_cell_angle_beta 102.12
_cell_angle_gamma 90.00
_symmetry_space_group_name_H-M 'P 1'
_symmetry_Int_Tables_number 1
loop_
_symmetry_equiv_pos_as_xyz
'x,y,z'
loop_
_atom_site_label
_atom_site_type_symbol
_atom_site_fract_x
_atom_site_fract_y
_atom_site_fract_z
Zn1 Zn 0.0000 0.0000 0.0000
Zn2 Zn 0.5000 0.5000 0.0000
Re1 Re 0.0009 0.5000 0.5009
Re2 Re 0.2581 0.5000 0.2677
Re3 Re 0.5009 0.0000 0.5009
Re4 Re 0.7581 0.0000 0.2677
Tc1 Tc 0.2413 0.0000 0.7415
Tc2 Tc 0.7413 0.5000 0.7415
# **DOS(E_F)**: 5.604 states/eV per cell

# 2
# ZnReTc2 (PBE, optimized geometry)
data_ZnReTc2
_chemical_formula_sum 'Zn1 Re1 Tc2'
_cell_length_a 2.7554
_cell_length_b 3.9374
_cell_length_c 5.3397
_cell_angle_alpha 90.00
_cell_angle_beta 90.36
_cell_angle_gamma 90.00
_symmetry_space_group_name_H-M 'P 1'
_symmetry_Int_Tables_number 1
loop_
_symmetry_equiv_pos_as_xyz
'x,y,z'
loop_
_atom_site_label
_atom_site_type_symbol
_atom_site_fract_x
_atom_site_fract_y
_atom_site_fract_z
Zn1 Zn 0.0000 0.0000 0.0000
Re1 Re 0.0000 0.0000 0.5000
Tc1 Tc 0.5000 0.5000 0.2435
Tc2 Tc 0.5000 0.5000 0.7565
# **DOS(E_F)**: 3.315 states/eV per cell

# 3
# Zn2ReTc (PBE, optimized geometry)
data_Zn2ReTc
_chemical_formula_sum 'Zn8 Re4 Tc4'
_cell_length_a 6.1244
_cell_length_b 6.1244
_cell_length_c 6.1244
_cell_angle_alpha 90.00
_cell_angle_beta 90.00
_cell_angle_gamma 90.00
_symmetry_space_group_name_H-M 'P 1'
_symmetry_Int_Tables_number 1
loop_
_symmetry_equiv_pos_as_xyz
'x,y,z'
loop_
_atom_site_label
_atom_site_type_symbol
_atom_site_fract_x
_atom_site_fract_y
_atom_site_fract_z
Zn1 Zn 0.0000 0.0000 0.0000
Zn2 Zn 0.0000 0.5000 0.5000
Zn3 Zn 0.2500 0.2500 0.2500
Zn4 Zn 0.2500 0.7500 0.7500
Zn5 Zn 0.5000 0.0000 0.5000
Zn6 Zn 0.5000 0.5000 0.0000
Zn7 Zn 0.7500 0.2500 0.7500
Zn8 Zn 0.7500 0.7500 0.2500
Re1 Re 0.0000 0.0000 0.5000
Re2 Re 0.0000 0.5000 0.0000
Re3 Re 0.5000 0.0000 0.0000
Re4 Re 0.5000 0.5000 0.5000
Tc1 Tc 0.2500 0.2500 0.7500
Tc2 Tc 0.2500 0.7500 0.2500
Tc3 Tc 0.7500 0.2500 0.2500
Tc4 Tc 0.7500 0.7500 0.7500
# **DOS(E_F)**: 5.427 states/eV per cell

# 4
# ZnRe2Tc (PBE, optimized geometry)
data_ZnRe2Tc
_chemical_formula_sum 'Zn2 Re4 Tc2'
_cell_length_a 9.3426
_cell_length_b 2.7922
_cell_length_c 4.6499
_cell_angle_alpha 90.00
_cell_angle_beta 102.96
_cell_angle_gamma 90.00
_symmetry_space_group_name_H-M 'P 1'
_symmetry_Int_Tables_number 1
loop_
_symmetry_equiv_pos_as_xyz
'x,y,z'
loop_
_atom_site_label
_atom_site_type_symbol
_atom_site_fract_x
_atom_site_fract_y
_atom_site_fract_z
Zn1 Zn 0.0000 0.0000 0.0000
Zn2 Zn 0.5000 0.5000 0.0000
Re1 Re 0.2419 0.0000 0.7383
Re2 Re 0.2581 0.5000 0.2617
Re3 Re 0.7419 0.5000 0.7383
Re4 Re 0.7581 0.0000 0.2617
Tc1 Tc 0.0000 0.5000 0.5000
Tc2 Tc 0.5000 0.0000 0.5000
# **DOS(E_F)**: 4.560 states/eV per cell

# 5
# ZnReTc2 (PBE, optimized geometry)
data_ZnReTc2
_chemical_formula_sum 'Zn1 Re1 Tc2'
_cell_length_a 3.0327
_cell_length_b 4.3339
_cell_length_c 4.4359
_cell_angle_alpha 90.00
_cell_angle_beta 90.00
_cell_angle_gamma 90.00
_symmetry_space_group_name_H-M 'P 1'
_symmetry_Int_Tables_number 1
loop_
_symmetry_equiv_pos_as_xyz
'x,y,z'
loop_
_atom_site_label
_atom_site_type_symbol
_atom_site_fract_x
_atom_site_fract_y
_atom_site_fract_z
Zn1 Zn 0.0000 0.0000 0.0000
Re1 Re 0.5000 0.0000 0.5000
Tc1 Tc 0.0000 0.5000 0.5000
Tc2 Tc 0.5000 0.5000 0.0000
# **DOS(E_F)**: 4.563 states/eV per cell

# 6
# Zn2ReTc (PBE, optimized geometry)
data_Zn2ReTc
_chemical_formula_sum 'Zn2 Re1 Tc1'
_cell_length_a 3.1007
_cell_length_b 4.2762
_cell_length_c 4.3793
_cell_angle_alpha 90.00
_cell_angle_beta 90.00
_cell_angle_gamma 90.00
_symmetry_space_group_name_H-M 'P 1'
_symmetry_Int_Tables_number 1
loop_
_symmetry_equiv_pos_as_xyz
'x,y,z'
loop_
_atom_site_label
_atom_site_type_symbol
_atom_site_fract_x
_atom_site_fract_y
_atom_site_fract_z
Zn1 Zn 0.0000 0.0000 0.0000
Zn2 Zn 0.5000 0.5000 0.0000
Re1 Re 0.0000 0.5000 0.5000
Tc1 Tc 0.5000 0.0000 0.5000
# **DOS(E_F)**: 2.817 states/eV per cell

# 7
# ZnReTc2 (PBE, optimized geometry)
data_ZnReTc2
_chemical_formula_sum 'Zn2 Re2 Tc4'
_cell_length_a 9.2956
_cell_length_b 2.7901
_cell_length_c 4.6362
_cell_angle_alpha 90.00
_cell_angle_beta 102.96
_cell_angle_gamma 90.00
_symmetry_space_group_name_H-M 'P 1'
_symmetry_Int_Tables_number 1
loop_
_symmetry_equiv_pos_as_xyz
'x,y,z'
loop_
_atom_site_label
_atom_site_type_symbol
_atom_site_fract_x
_atom_site_fract_y
_atom_site_fract_z
Zn1 Zn 0.0000 0.0000 0.0000
Zn2 Zn 0.5000 0.5000 0.0000
Re1 Re 0.2571 0.5000 0.2680
Re2 Re 0.7571 0.0000 0.2680
Tc1 Tc 0.0007 0.5000 0.5004
Tc2 Tc 0.2425 0.0000 0.7436
Tc3 Tc 0.5007 0.0000 0.5004
Tc4 Tc 0.7425 0.5000 0.7436
# **DOS(E_F)**: 4.410 states/eV per cell

# 8
# Zn2ReTc (PBE, optimized geometry)
data_Zn2ReTc
_chemical_formula_sum 'Zn2 Re1 Tc1'
_cell_length_a 2.8157
_cell_length_b 3.7926
_cell_length_c 5.4987
_cell_angle_alpha 90.00
_cell_angle_beta 90.00
_cell_angle_gamma 90.00
_symmetry_space_group_name_H-M 'P 1'
_symmetry_Int_Tables_number 1
loop_
_symmetry_equiv_pos_as_xyz
'x,y,z'
loop_
_atom_site_label
_atom_site_type_symbol
_atom_site_fract_x
_atom_site_fract_y
_atom_site_fract_z
Zn1 Zn 0.0000 0.0000 0.0000
Zn2 Zn 0.5000 0.5000 0.2242
Re1 Re 0.0000 0.0000 0.5079
Tc1 Tc 0.5000 0.5000 0.7156
# **DOS(E_F)**: 2.421 states/eV per cell

| no. | total moment (μB per formula unit) | DFT formation energy (kJ/mol of formula units) | electronic total energy (eV per atom) |
| --- | --- | --- | --- |
| 1 | 0.0 | 78 | -8.933 |
| 2 | 0.0 | 44 | -8.500 |
| 3 | 0.0 | 55 | -6.199 |
| 4 | 0.0 | 72 | -8.949 |
| 5 | 0.0 | 131 | -8.274 |
| 6 | 0.0 | 87 | -6.116 |
| 7 | 0.0 | 61 | -8.455 |
| 8 | 0.0 | 52 | -6.207 |